NiPdPb2 | PBE | optimized geometry

a b c (Å): 4.6099 4.6099 17.3396
angles (deg): 90.00 90.00 90.00
Last column: nearest neighbours and their distance in Å.
Element x y z (fractional)
Ni1 0.0000 0.0000 0.0000  4 Pb 2.68
Ni2 0.0000 0.5000 0.2500  4 Pb 2.68
Ni3 0.5000 0.0000 0.7500  4 Pb 2.68
Ni4 0.5000 0.5000 0.5000  4 Pb 2.68
Pd1 0.0000 0.0000 0.5000  4 Pb 2.74
Pd2 0.0000 0.5000 0.7500  4 Pb 2.74
Pd3 0.5000 0.0000 0.2500  4 Pb 2.74
Pd4 0.5000 0.5000 0.0000  4 Pb 2.74
Pb1 0.2358 0.2500 0.1250  2 Ni 2.68, 2 Pd 2.74
Pb2 0.2500 0.7358 0.3750  2 Ni 2.68, 2 Pd 2.74
Pb3 0.2500 0.7642 0.8750  2 Ni 2.68, 2 Pd 2.74
Pb4 0.2642 0.2500 0.6250  2 Ni 2.68, 2 Pd 2.74
Pb5 0.7358 0.7500 0.6250  2 Ni 2.68, 2 Pd 2.74
Pb6 0.7500 0.2358 0.8750  2 Ni 2.68, 2 Pd 2.74
Pb7 0.7500 0.2642 0.3750  2 Ni 2.68, 2 Pd 2.74
Pb8 0.7642 0.7500 0.1250  2 Ni 2.68, 2 Pd 2.74

Computed properties:
magnetic moment	0.00	μB/f.u.
energy of formation	268	meV/atom
calculated density	10.45	g cm⁻³

=====

MgMoBr2 | PBE | optimized geometry

a b c (Å): 18.2314 3.2236 3.2243
angles (deg): 90.00 93.58 90.00
Last column: nearest neighbours and their distance in Å.
Element x y z (fractional)
Mg1 0.0000 0.0000 0.0000  4 Br 2.78
Mg2 0.5000 0.5000 0.0000  4 Br 2.78
Mo1 0.1164 0.5000 0.5412  4 Br 2.67
Mo2 0.6164 0.0000 0.5412  4 Br 2.67
Br1 0.1926 0.0000 0.0682  4 Mo 2.67
Br2 0.4127 0.0000 0.4697  4 Mg 2.78
Br3 0.6926 0.5000 0.0682  4 Mo 2.67
Br4 0.9127 0.5000 0.4697  4 Mg 2.78

Computed properties:
E_form (uncorrected)	-0.075	eV/atom
magnetic moment	0.00	μB/f.u.
calculated density	4.92	g cm⁻³

=====

Mg3AlB | PBE | optimized geometry

a b c (Å): 5.0890 5.0890 5.0890
angles (deg): 90.00 90.00 90.00
Last column: nearest neighbours and their distance in Å.
Element x y z (fractional)
Mg1 0.0000 0.0000 0.5000  2 Al 2.54
Mg2 0.0000 0.5000 0.0000  2 Al 2.54
Mg3 0.5000 0.0000 0.0000  2 Al 2.54
Al1 0.0000 0.0000 0.0000  6 Mg 2.54
B1 0.5000 0.5000 0.5000  12 Mg 3.60

Computed properties:
magnetic moment	0.00	μB/f.u.
energy of formation	1230	meV/atom
calculated density	1.39	g cm⁻³

=====

Tb6PmSm2Ho3 | PBE | optimized geometry

a b c (Å): 6.1823 6.1823 11.8268
angles (deg): 94.98 94.98 119.96
Last column: nearest neighbours and their distance in Å.
Element x y z (fractional)
Tb1 0.0850 0.4184 0.7531  3 Ho 3.54, 6 Tb 3.57, 2 Sm 3.59-3.60, 1 Pm 3.60
Tb2 0.2485 0.2485 0.2469  3 Ho 3.54, 6 Tb 3.57, 1 Pm 3.59, 2 Sm 3.60
Tb3 0.4184 0.0850 0.7531  3 Ho 3.54, 6 Tb 3.57, 2 Sm 3.59-3.60, 1 Pm 3.60
Tb4 0.5816 0.9150 0.2469  3 Ho 3.54, 6 Tb 3.57, 2 Sm 3.59-3.60, 1 Pm 3.60
Tb5 0.7515 0.7515 0.7531  3 Ho 3.54, 6 Tb 3.57, 1 Pm 3.59, 2 Sm 3.60
Tb6 0.9150 0.5816 0.2469  3 Ho 3.54, 6 Tb 3.57, 2 Sm 3.59-3.60, 1 Pm 3.60
Pm1 0.0000 0.0000 0.5000  6 Sm 3.57, 6 Tb 3.59-3.60
Sm1 0.3333 0.6667 0.5000  3 Sm 3.57, 3 Pm 3.57, 6 Tb 3.59-3.60
Sm2 0.6667 0.3333 0.5000  3 Sm 3.57, 3 Pm 3.57, 6 Tb 3.59-3.60
Ho1 0.1667 0.8333 0.0000  6 Tb 3.54, 6 Ho 3.57
Ho2 0.5000 0.5000 0.0000  6 Tb 3.54, 6 Ho 3.57
Ho3 0.8333 0.1667 0.0000  6 Tb 3.54, 6 Ho 3.57

Computed properties:
magnetic moment	0.00	μB/f.u.
energy of formation	15	meV/atom
calculated density	8.15	g cm⁻³